The following is a DFT calculation (PBE) of CaP2RuRh after structural relaxation.

Cell and atoms, written as POSCAR:
```
CaP2RuRh
1.0
-2.018 2.018 4.921
2.018 -2.018 4.921
2.018 2.018 -4.921
Ca P Ru Rh
1 2 1 1
direct
0.000 0.000 0.000 Ca
0.377 0.377 0.000 P
0.623 0.623 0.000 P
0.250 0.750 0.500 Ru
0.750 0.250 0.500 Rh
```

Values from the calculation:
ΔE_f: -0.94 eV per atom
density of states at the Fermi level: 1.782 states/eV per cell